Version a
The following is a PBE calculation of a relaxed structure of Ta7Re6, from the Open Quantum Materials Database.

Structure (POSCAR):
```
Ta7Re6
1.0
2.602 1.502 9.456
-2.602 1.502 9.456
0.000 -3.005 9.456
Ta Re
7 6
Cartesian
0.000 0.000 0.000
0.000 0.000 23.613
0.000 0.000 15.550
0.000 0.000 9.840
0.000 0.000 18.528
0.000 0.000 12.819
0.000 0.000 4.755
1.287 -0.743 21.137
0.000 1.486 21.137
1.287 0.743 7.231
-1.287 -0.743 21.137
0.000 -1.486 7.231
-1.287 0.743 7.231
```

Version b
The following is a PBE calculation of a relaxed structure of Ta7Re6, from the Open Quantum Materials Database.

Structure (POSCAR):
```
Ta7Re6
1.0
5.516 6.098 5.159
7.356 6.331 0.223
3.061 9.078 1.569
Ta Re
7 6
Cartesian
4.139 4.920 3.169
2.923 6.395 1.391
11.793 16.586 3.782
0.000 0.000 0.000
13.009 15.110 5.560
10.882 16.471 6.226
5.050 5.035 0.725
7.276 9.821 3.174
5.546 7.486 2.420
8.656 11.684 3.776
10.386 14.019 4.531
2.677 3.613 1.168
13.256 17.893 5.783
```

The winner here is version a, beating the second structure by 57.3 kJ/mol of atoms.

Version a
The following is a PBE calculation of a relaxed structure of Ta11Re4, from the Open Quantum Materials Database.

Structure (POSCAR):
```
Ta11Re4
1.0
-5.461 -8.354 -0.458
7.031 -4.879 5.156
-2.386 1.313 4.496
Ta Re
22 8
Cartesian
-4.404 -4.757 2.125
2.584 -3.363 2.353
-3.873 -9.238 3.715
0.620 -5.231 1.857
-1.496 -1.486 4.249
0.000 0.000 0.000
4.529 -4.587 6.816
0.949 -8.003 2.841
3.216 -8.693 4.246
0.680 -10.434 4.944
-0.303 -2.143 2.001
-0.513 -9.777 7.192
-0.408 -5.960 4.597
-3.337 -6.281 4.672
-2.145 -6.937 2.425
-5.346 -7.333 2.377
3.588 -7.163 7.069
-1.014 -9.870 2.344
3.056 -2.682 5.478
2.521 -5.639 4.522
1.328 -4.983 6.769
-1.646 -4.540 0.452
-1.362 -8.416 4.808
-3.308 -9.074 0.895
-3.611 -6.520 -0.012
5.180 -6.713 4.710
1.049 -7.745 5.891
4.877 -4.159 3.803
0.546 -3.504 4.386
-1.865 -4.175 3.302
```

Version b
The following is a PBE calculation of a relaxed structure of Ta11Re4, from the Open Quantum Materials Database.

Structure (POSCAR):
```
Ta11Re4
1.0
10.034 0.000 0.000
0.000 10.034 0.000
0.000 0.000 5.219
Ta Re
22 8
Cartesian
0.000 0.000 2.610
7.450 9.420 2.610
1.042 1.042 0.000
2.433 5.631 0.000
3.975 6.059 2.610
3.706 0.339 0.000
5.631 2.433 0.000
5.356 1.311 2.610
1.311 5.356 2.610
4.403 7.601 0.000
0.339 3.706 0.000
8.723 4.678 2.610
4.678 8.723 2.610
8.992 8.992 0.000
2.584 0.614 2.610
6.059 3.975 2.610
7.601 4.403 0.000
9.695 6.329 0.000
0.614 2.584 2.610
5.017 5.017 0.000
6.329 9.695 0.000
9.420 7.450 2.610
1.892 8.142 3.925
8.142 1.892 1.295
8.142 1.892 3.925
3.125 3.125 1.315
6.909 6.909 1.315
3.125 3.125 3.904
6.909 6.909 3.904
1.892 8.142 1.295
```

The winner here is version a, beating the second structure by 20.5 kJ/mol of atoms.

Version a
The following is a PBE calculation of a relaxed structure of Ta13Re16, from the Open Quantum Materials Database.

Structure (POSCAR):
```
Ta13Re16
1.0
7.598 -3.711 -1.295
-3.647 -3.331 6.984
-5.036 -1.373 -6.777
Ta Re
13 16
Cartesian
-2.396 -1.557 1.372
0.000 0.000 0.000
-0.458 -1.258 -2.873
2.218 -5.925 3.283
-2.661 -1.183 -1.251
-1.652 -5.432 -1.995
2.222 -2.087 0.867
-5.534 -4.491 -0.080
1.365 -4.723 -5.160
1.950 -1.703 -1.828
-1.380 -5.815 0.701
0.079 -2.014 2.446
0.823 -5.890 -0.921
0.487 -3.915 -2.792
-2.413 -3.161 -3.133
-0.347 -2.482 -5.222
0.614 -3.836 4.297
-0.397 -3.082 -0.398
-4.601 -2.871 2.034
2.802 -4.126 -0.870
-4.989 -2.325 -1.805
-2.311 -2.111 4.426
3.177 -3.134 -3.693
0.916 -4.518 1.451
3.750 -3.942 1.987
-1.840 -3.970 2.548
-2.980 -3.798 -0.239
-3.192 -0.870 -4.295
4.815 -2.352 -0.821
```

Version b
The following is a PBE calculation of a relaxed structure of Ta13Re16, from the Open Quantum Materials Database.

Structure (POSCAR):
```
Ta13Re16
1.0
3.366 -4.342 6.563
-7.472 -3.532 -2.224
5.376 -0.268 -6.655
Re Ta
16 13
Cartesian
3.480 -0.174 -4.308
0.569 -0.768 -2.878
1.819 -5.186 -2.722
-2.362 -6.430 2.321
-0.615 -5.805 -1.882
-4.837 -2.286 -1.440
2.179 -2.810 4.249
1.438 -5.958 -0.218
-1.094 -3.860 -6.017
-1.740 -1.355 -2.082
-2.121 -2.126 0.422
0.448 -2.871 -0.817
2.261 -1.654 1.162
2.622 -0.921 -1.214
5.743 -4.371 -0.474
-0.173 -2.272 2.002
-2.954 -2.535 -4.226
-2.632 -3.981 -1.627
-0.717 -4.414 3.607
-0.928 -4.757 0.706
1.762 -4.309 1.936
4.492 -3.091 1.811
-3.768 -4.186 1.133
-0.299 -3.482 -3.432
0.663 -1.616 -5.473
3.094 -3.735 -0.681
5.057 -1.944 -1.911
2.577 -2.657 -3.423
0.000 0.000 0.000
```

The winner here is version b, beating the second structure by 22.6 kJ/mol of atoms.

Version a
The following is a PBE calculation of a relaxed structure of Ta6Re7, from the Open Quantum Materials Database.

Structure (POSCAR):
```
Ta6Re7
1.0
2.588 1.494 9.388
-2.588 1.494 9.388
0.000 -2.988 9.388
Re Ta
7 6
Cartesian
0.000 0.000 0.000
1.278 -0.738 20.939
1.278 0.738 7.224
0.000 -1.476 7.224
-1.278 0.738 7.224
0.000 1.476 20.939
-1.278 -0.738 20.939
0.000 0.000 12.726
0.000 0.000 15.437
0.000 0.000 4.689
0.000 0.000 18.351
0.000 0.000 23.474
0.000 0.000 9.813
```

Version b
The following is a PBE calculation of a relaxed structure of Ta6Re7, from the Open Quantum Materials Database.

Structure (POSCAR):
```
Ta6Re7
1.0
2.629 1.518 9.136
-2.629 1.518 9.136
0.000 -3.035 9.136
Re Ta
7 6
Cartesian
0.000 0.000 12.514
0.000 0.000 14.895
0.000 0.000 9.520
0.000 0.000 4.581
0.000 0.000 17.889
0.000 0.000 0.000
0.000 0.000 22.828
-1.305 0.753 6.990
0.000 1.507 20.419
-1.305 -0.753 20.419
1.305 -0.753 20.419
0.000 -1.507 6.990
1.305 0.753 6.990
```

The winner here is version a, beating the second structure by 55.3 kJ/mol of atoms.

Version a
The following is a PBE calculation of a relaxed structure of Ta2ReW2, from the Open Quantum Materials Database.

Structure (POSCAR):
```
Ta2ReW2
1.0
2.619 -2.619 0.000
2.619 2.619 0.000
-2.619 0.000 6.571
W Ta Re
2 2 1
Cartesian
0.000 0.000 5.382
2.619 0.000 1.189
1.310 1.310 3.286
1.310 -1.310 3.286
0.000 0.000 0.000
```

Version b
The following is a PBE calculation of a relaxed structure of Ta2ReW2, from the Open Quantum Materials Database.

Structure (POSCAR):
```
Ta2ReW2
1.0
-1.771 1.771 7.156
1.771 -1.771 7.156
1.771 1.771 -7.156
Ta Re W
2 1 2
Cartesian
0.000 0.000 5.806
0.000 0.000 8.505
0.000 0.000 0.000
1.771 0.000 3.578
0.000 1.771 3.578
```

The winner here is version b, beating the second structure by 35.1 kJ/mol of atoms.

Version a
The following is a PBE calculation of a relaxed structure of ReTe, from the Open Quantum Materials Database.

Structure (POSCAR):
```
ReTe
1.0
3.279 0.000 0.000
-1.640 2.840 0.000
0.000 0.000 4.084
Re Te
1 1
Cartesian
1.640 0.947 3.063
0.000 1.893 1.021
```

Version b
The following is a PBE calculation of a relaxed structure of ReTe, from the Open Quantum Materials Database.

Structure (POSCAR):
```
ReTe
1.0
0.000 2.772 2.772
2.772 0.000 2.772
2.772 2.772 0.000
Te Re
1 1
Cartesian
2.772 2.772 2.772
0.000 0.000 0.000
```

The winner here is version a, beating the second structure by 33.8 kJ/mol of atoms.

Version a
The following is a PBE calculation of a relaxed structure of Tm3ReTe5, from the Open Quantum Materials Database.

Structure (POSCAR):
```
Tm3ReTe5
1.0
-7.100 -3.368 -3.597
7.632 -3.931 -1.000
-0.629 -2.019 3.133
Te Re Tm
5 1 3
Cartesian
-1.928 -1.775 0.749
-2.504 -4.565 -1.165
2.406 -4.753 -0.300
1.420 -1.903 1.339
0.096 -6.650 -1.986
0.000 0.000 0.000
-4.568 -2.167 -2.314
0.190 -2.604 -1.640
4.909 -2.529 -0.643
```

Version b
The following is a PBE calculation of a relaxed structure of Tm3ReTe5, from the Open Quantum Materials Database.

Structure (POSCAR):
```
Tm3ReTe5
1.0
8.341 0.000 0.000
-4.171 7.224 0.000
0.000 0.000 4.300
Re Tm Te
1 3 5
Cartesian
0.000 0.000 0.000
3.091 5.354 2.150
-1.080 1.870 2.150
2.159 0.000 2.150
-2.861 4.955 0.000
4.171 2.408 2.150
1.310 2.269 0.000
5.721 0.000 0.000
0.000 4.816 2.150
```

The winner here is version b, beating the second structure by 2.7 kJ/mol of atoms.

Version a
The following is a PBE calculation of a relaxed structure of Tm5ReTe3, from the Open Quantum Materials Database.

Structure (POSCAR):
```
Tm5ReTe3
1.0
-0.188 5.373 6.126
-4.935 -6.485 0.114
2.900 -2.172 1.994
Tm Re Te
5 1 3
Cartesian
-1.903 -3.619 3.115
-1.754 -0.381 2.136
-0.320 0.334 5.119
-3.246 -4.265 0.075
-0.124 3.533 4.029
0.000 0.000 0.000
1.403 0.255 2.527
0.218 -2.705 1.026
-2.394 -1.921 5.679
```

Version b
The following is a PBE calculation of a relaxed structure of Tm5ReTe3, from the Open Quantum Materials Database.

Structure (POSCAR):
```
Tm5ReTe3
1.0
-7.466 4.311 0.689
1.078 -5.799 -6.326
-1.328 -2.652 2.205
Te Tm Re
3 5 1
Cartesian
-4.281 2.472 0.395
0.618 -3.325 -3.627
-2.725 -0.634 -2.404
-2.434 -3.755 -2.885
-2.417 -0.313 1.264
-5.282 -0.385 -0.547
-5.552 -2.464 -3.211
-0.411 -2.688 -0.383
0.000 0.000 0.000
```

The winner here is version b, beating the second structure by 14.3 kJ/mol of atoms.

Version a
The following is a PBE calculation of a relaxed structure of UReTe, from the Open Quantum Materials Database.

Structure (POSCAR):
```
UReTe
1.0
0.000 3.354 3.354
3.354 0.000 3.354
3.354 3.354 0.000
Te Re U
1 1 1
Cartesian
5.030 5.030 5.030
1.677 1.677 1.677
0.000 0.000 0.000
```

Version b
The following is a PBE calculation of a relaxed structure of UReTe, from the Open Quantum Materials Database.

Structure (POSCAR):
```
UReTe
1.0
2.220 -2.707 3.049
0.025 1.115 4.506
-2.419 -2.547 3.035
Te U Re
1 1 1
Cartesian
-0.131 -3.104 7.942
-0.044 -1.035 2.647
0.000 0.000 0.000
```

The winner here is version b, beating the second structure by 61.0 kJ/mol of atoms.

Version a
The following is a PBE calculation of a relaxed structure of Y5ReTe3, from the Open Quantum Materials Database.

Structure (POSCAR):
```
Y5ReTe3
1.0
-3.632 -2.540 -6.882
7.982 1.817 -0.015
0.915 -4.009 0.997
Y Re Te
5 1 3
Cartesian
-2.397 -1.676 -4.541
0.696 -3.092 -4.095
1.480 -0.246 -2.346
5.267 1.199 -0.010
4.568 -1.640 -1.805
0.000 0.000 0.000
3.724 -2.547 -4.681
-0.447 -2.637 -1.215
2.445 -1.552 0.495
```

Version b
The following is a PBE calculation of a relaxed structure of Y5ReTe3, from the Open Quantum Materials Database.

Structure (POSCAR):
```
Y5ReTe3
1.0
8.772 0.000 0.000
-4.386 7.597 0.000
0.000 0.000 3.733
Y Te Re
5 3 1
Cartesian
0.000 5.064 1.867
3.360 5.820 1.867
-1.026 1.776 1.867
4.386 2.532 1.867
2.051 0.000 1.867
1.880 3.257 0.000
-2.505 4.339 0.000
5.011 0.000 0.000
0.000 0.000 0.000
```

The winner here is version b, beating the second structure by 13.9 kJ/mol of atoms.